[1]
The following is a DFT calculation (GGA+U) of Li24TiCr11O36 after structural relaxation.

## Properties
- E (eV per atom) = -6.328

abc: 8.725 8.749 9.758
angles: 98.19 90.00 119.91
Each line ends with the local moment (μB).
Sites, in units of the cell vectors:
Li  0.171  0.165  0.252  0.00
Li  0.252  0.000  0.000  -0.01
Li  0.334  0.168  0.748  0.00
Li  0.414  0.331  0.501  0.00
Li  0.496  0.171  0.252  0.00
Li  0.502  0.504  0.248  0.00
Li  0.660  0.499  0.750  0.00
Li  0.675  0.164  0.749  0.00
Li  0.750  0.000  0.500  0.00
Li  0.840  0.504  0.247  0.00
Li  0.831  0.165  0.250  0.00
Li  0.919  0.334  0.002  0.00
Li  0.996  0.173  0.751  0.00
Li  0.997  0.496  0.752  0.00
Li  0.006  0.835  0.748  0.00
Li  0.083  0.669  0.499  0.00
Li  0.160  0.501  0.250  0.00
Li  0.166  0.832  0.252  0.00
Li  0.325  0.829  0.748  0.00
Li  0.336  0.496  0.753  0.00
Li  0.511  0.836  0.251  0.00
Li  0.584  0.666  0.998  0.00
Li  0.666  0.835  0.750  0.00
Li  0.823  0.827  0.249  0.00
Ti  0.417  0.000  0.500  0.01
Cr  0.077  0.000  0.500  2.15
Cr  0.575  0.000  0.000  2.17
Cr  0.594  0.341  0.998  2.18
Cr  0.753  0.336  0.504  2.14
Cr  0.747  0.660  0.494  2.17
Cr  0.911  0.000  0.000  2.14
Cr  0.926  0.678  0.000  2.17
Cr  0.086  0.340  0.506  2.17
Cr  0.249  0.322  0.000  2.17
Cr  0.254  0.659  0.002  2.18
Cr  0.417  0.664  0.496  2.14
O  0.121  0.097  0.888  -0.07
O  0.282  0.069  0.385  -0.02
O  0.381  0.266  0.114  -0.07
O  0.455  0.400  0.884  -0.03
O  0.479  0.092  0.887  -0.07
O  0.550  0.241  0.613  -0.03
O  0.686  0.244  0.114  -0.07
O  0.622  0.099  0.388  -0.02
O  0.720  0.578  0.110  -0.03
O  0.642  0.432  0.387  -0.08
O  0.783  0.071  0.887  -0.04
O  0.788  0.433  0.889  -0.07
O  0.809  0.768  0.887  -0.05
O  0.857  0.565  0.612  -0.07
O  0.880  0.260  0.619  0.01
O  0.024  0.903  0.112  -0.07
O  0.950  0.398  0.388  -0.08
O  0.949  0.757  0.387  -0.02
O  0.040  0.232  0.113  -0.05
O  0.055  0.600  0.116  -0.03
O  0.980  0.096  0.390  -0.08
O  0.115  0.734  0.886  -0.07
O  0.142  0.422  0.890  -0.03
O  0.192  0.243  0.613  -0.02
O  0.209  0.568  0.613  -0.08
O  0.213  0.931  0.615  -0.02
O  0.355  0.567  0.111  -0.07
O  0.292  0.435  0.388  -0.07
O  0.387  0.908  0.113  -0.07
O  0.308  0.759  0.387  -0.03
O  0.443  0.756  0.886  -0.07
O  0.523  0.901  0.612  -0.02
O  0.552  0.602  0.612  -0.08
O  0.620  0.740  0.381  0.01
O  0.712  0.929  0.113  -0.04
O  0.883  0.904  0.610  -0.08

[2]
The following is a DFT calculation (GGA+U) of Li2Ti2CrO6 after structural relaxation.

## Properties
- E (eV per atom) = -7.154

abc: 5.795 5.795 6.231
angles: 62.29 62.29 60.00
Each line ends with the local moment (μB).
Sites, in units of the cell vectors:
Li  0.411  0.411  0.768  0.00
Li  0.589  0.589  0.232  0.00
Ti  0.847  0.847  0.460  -0.23
Ti  0.153  0.153  0.540  -0.23
Cr  0.000  0.000  0.000  2.55
O  0.760  0.760  0.268  -0.01
O  0.212  0.760  0.268  -0.01
O  0.760  0.212  0.268  -0.01
O  0.240  0.788  0.732  -0.01
O  0.788  0.240  0.732  -0.01
O  0.240  0.240  0.732  -0.01

[3]
The following is a DFT calculation (GGA+U) of Li2TiCrO4 after structural relaxation.

## Properties
- energy relative to the lowest polymorph listed for this composition (meV per atom) = 9

abc: 5.219 10.441 10.016
angles: 16.40 28.80 32.79
Each line ends with the local moment (μB).
Sites, in units of the cell vectors:
Cr  0.500  0.500  0.500  2.84
Ti  0.500  0.000  0.500  -0.75
O  0.247  0.000  0.241  -0.01
O  0.241  0.500  0.247  -0.01
O  0.753  0.000  0.759  -0.01
O  0.759  0.500  0.753  -0.01
Li  0.000  0.000  0.000  0.00
Li  0.000  0.500  0.000  0.00